The following is a GGA-PBE calculation of a relaxed structure of ScCrCo2, from the Alexandria database.

Cell lengths 4.225, 4.225, 2.974 Å; angles 90.00, 90.00, 90.00 degrees
Space group P4/mmm (No. 123)
Inequivalent atoms, fractional coordinates:
Sc: 0.000 0.000 0.000 [1 per cell]
Cr: 0.500 0.500 0.000 [1 per cell]
Co: 0.000 0.500 0.500 [2 per cell]

Results
Energy above the lowest structure with this stoichiometry, kJ/mol of atoms: 0.0
Uncorrected energy, eV per atom: -7.57
N(E_F), states/eV/f.u.: 5.503
Formation enthalpy at 0 K, meV/atom: -29